DFT (PBE-GGA) results for a relaxed structure of LiTlIr2.

Properties
Its space group is No. 65.

Lattice parameters (Å, degrees): 4.9441 4.9441 2.9229 90.00 90.00 113.77
Fractional positions:
Ir  0.0000  0.0000  0.0000
Tl  0.0000  0.5000  0.5000
Li  0.5000  0.0000  0.5000
Ir  0.5000  0.5000  0.0000

---

DFT (PBE-GGA) results for a relaxed structure of Li2TlIr.

Properties
Its space group is No. 122.

Lattice parameters (Å, degrees): 3.9056 3.9056 9.8051 78.51 78.51 90.00
Fractional positions:
Tl  0.0000  0.0000  0.0000
Ir  0.2500  0.7500  0.5000
Tl  0.7500  0.2500  0.5000
Li  0.8750  0.8348  0.7500
Li  0.1652  0.6250  0.2500
Li  0.3750  0.4152  0.7500
Li  0.5848  0.1250  0.2500
Ir  0.5000  0.5000  0.0000

---

no.,energy of formation (eV/f.u.),E_tot (eV per atom)
1,1.373,-5.1572
2,0.565,-3.6225